DFT (PBE) results for a relaxed Ca7SI12 crystal.

Values from the calculation:
VASP energy   -3.464 eV per atom

a b c (Å): 9.943 9.943 9.943
angles (deg): 107.16 107.16 107.16
Fractional coordinates of all 20 atoms:
Ca (0.970, 0.672, 0.891)
Ca (0.328, 0.109, 0.030)
Ca (0.109, 0.030, 0.328)
Ca (0.500, 0.500, 0.500)
Ca (0.891, 0.970, 0.672)
Ca (0.672, 0.891, 0.970)
Ca (0.030, 0.328, 0.109)
S (0.000, 0.000, 0.000)
I (0.924, 0.313, 0.777)
I (0.687, 0.223, 0.076)
I (0.453, 0.152, 0.377)
I (0.848, 0.623, 0.547)
I (0.223, 0.076, 0.687)
I (0.623, 0.547, 0.848)
I (0.377, 0.453, 0.152)
I (0.777, 0.924, 0.313)
I (0.152, 0.377, 0.453)
I (0.547, 0.848, 0.623)
I (0.313, 0.777, 0.924)
I (0.076, 0.687, 0.223)


DFT (PBE) results for a relaxed Ca2SI crystal.

Values from the calculation:
VASP energy   -3.610 eV per atom

a b c (Å): 5.267 5.267 5.267
angles (deg): 60.00 60.00 60.00
Fractional coordinates of all 4 atoms:
I (0.500, 0.500, 0.500)
Ca (0.250, 0.250, 0.250)
Ca (0.750, 0.750, 0.750)
S (0.000, 0.000, 0.000)


DFT (PBE) results for a relaxed CaS4I crystal.

Values from the calculation:
VASP energy   -3.887 eV per atom

a b c (Å): 4.100 8.812 12.039
angles (deg): 59.86 84.64 74.19
Fractional coordinates of all 12 atoms:
Ca (0.758, 0.705, 0.565)
Ca (0.242, 0.295, 0.435)
S (0.360, 0.625, 0.430)
S (0.769, 0.852, 0.965)
S (0.896, 0.010, 0.578)
S (0.356, 0.013, 0.870)
S (0.640, 0.375, 0.570)
S (0.104, 0.990, 0.422)
S (0.231, 0.148, 0.035)
S (0.644, 0.987, 0.130)
I (0.722, 0.439, 0.206)
I (0.278, 0.561, 0.794)


DFT (PBE) results for a relaxed CaSbS2I crystal.

Values from the calculation:
VASP energy   -3.007 eV per atom

a b c (Å): 5.063 6.622 5.063
angles (deg): 90.00 90.00 90.00
Fractional coordinates of all 5 atoms:
I (0.500, 0.500, 0.500)
Sb (0.000, 0.500, 0.000)
Ca (0.000, 0.000, 0.000)
S (0.000, 0.000, 0.500)
S (0.500, 0.000, 0.000)


DFT (PBE) results for a relaxed CaSb2SI crystal.

Values from the calculation:
VASP energy   -3.215 eV per atom

a b c (Å): 5.258 5.258 5.672
angles (deg): 90.00 90.00 90.00
Fractional coordinates of all 5 atoms:
I (0.000, 0.000, 0.500)
Sb (0.000, 0.500, 0.000)
Sb (0.500, 0.000, 0.000)
Ca (0.500, 0.500, 0.500)
S (0.000, 0.000, 0.000)


DFT (PBE) results for a relaxed CaSb2SI crystal.

Values from the calculation:
VASP energy   -2.555 eV per atom

a b c (Å): 5.949 5.949 5.591
angles (deg): 90.00 90.00 90.00
Fractional coordinates of all 5 atoms:
I (0.000, 0.000, 0.500)
Sb (0.000, 0.500, 0.000)
Sb (0.500, 0.000, 0.000)
Ca (0.000, 0.000, 0.000)
S (0.500, 0.500, 0.500)


DFT (PBE) results for a relaxed CaSbS2I crystal.

Values from the calculation:
VASP energy   -4.201 eV per atom

a b c (Å): 5.245 7.199 8.743
angles (deg): 104.68 90.00 90.00
Fractional coordinates of all 10 atoms:
Ca (0.250, 0.682, 0.922)
Ca (0.750, 0.318, 0.078)
Sb (0.250, 0.672, 0.416)
Sb (0.750, 0.328, 0.584)
S (0.750, 0.565, 0.416)
S (0.250, 0.435, 0.584)
S (0.750, 0.542, 0.853)
S (0.250, 0.458, 0.147)
I (0.250, 0.057, 0.807)
I (0.750, 0.943, 0.193)


DFT (PBE) results for a relaxed CaTeSI2 crystal.

Values from the calculation:
VASP energy   -2.428 eV per atom

a b c (Å): 6.072 6.072 6.273
angles (deg): 90.00 90.00 90.00
Site moments in Bohr magnetons follow the coordinates.
Fractional coordinates of all 5 atoms:
I (0.000, 0.500, 0.000)  0.19
I (0.500, 0.000, 0.000)  0.19
Ca (0.000, 0.000, 0.000)  -0.01
Te (0.000, 0.000, 0.500)  0.80
S (0.500, 0.500, 0.500)  1.15


DFT (PBE) results for a relaxed CaTeSI2 crystal.

Values from the calculation:
VASP energy   -2.775 eV per atom

a b c (Å): 5.447 5.641 5.447
angles (deg): 90.00 90.00 90.00
Fractional coordinates of all 5 atoms:
I (0.000, 0.000, 0.500)
I (0.500, 0.000, 0.000)
Ca (0.500, 0.500, 0.500)
Te (0.000, 0.500, 0.000)
S (0.000, 0.000, 0.000)


DFT (PBE) results for a relaxed Ca2TlSI crystal.

Values from the calculation:
VASP energy   -3.195 eV per atom

a b c (Å): 5.392 6.412 5.392
angles (deg): 90.00 90.00 90.00
Fractional coordinates of all 5 atoms:
I (0.500, 0.500, 0.500)
Tl (0.000, 0.500, 0.000)
S (0.000, 0.000, 0.000)
Ca (0.000, 0.000, 0.500)
Ca (0.500, 0.000, 0.000)


DFT (PBE) results for a relaxed Ca2TlSI crystal.

Values from the calculation:
VASP energy   -2.727 eV per atom

a b c (Å): 6.025 5.211 6.025
angles (deg): 90.00 90.00 90.00
Fractional coordinates of all 5 atoms:
I (0.500, 0.500, 0.500)
Tl (0.000, 0.000, 0.000)
S (0.000, 0.500, 0.000)
Ca (0.000, 0.000, 0.500)
Ca (0.500, 0.000, 0.000)


DFT (PBE) results for a relaxed Ca2ZrSI crystal.

Values from the calculation:
VASP energy   -3.770 eV per atom

a b c (Å): 5.129 7.029 5.129
angles (deg): 90.00 90.00 90.00
Site moments in Bohr magnetons follow the coordinates.
Fractional coordinates of all 5 atoms:
I (0.000, 0.500, 0.000)  0.01
Ca (0.000, 0.000, 0.500)  0.03
Ca (0.500, 0.000, 0.000)  0.01
S (0.000, 0.000, 0.000)  0.01
Zr (0.500, 0.500, 0.500)  1.59


DFT (PBE) results for a relaxed CaSb2I8 crystal.

Values from the calculation:
VASP energy   -2.651 eV per atom

a b c (Å): 8.145 8.813 8.813
angles (deg): 95.81 82.73 82.73
Fractional coordinates of all 11 atoms:
Ca (0.000, 0.000, 0.000)
Sb (0.579, 0.828, 0.828)
Sb (0.421, 0.172, 0.172)
I (0.228, 0.258, 0.924)
I (0.772, 0.076, 0.742)
I (0.235, 0.757, 0.757)
I (0.765, 0.243, 0.243)
I (0.228, 0.924, 0.258)
I (0.772, 0.742, 0.076)
I (0.738, 0.602, 0.602)
I (0.262, 0.398, 0.398)


DFT (PBE) results for a relaxed CaSbI crystal.

Values from the calculation:
VASP energy   -3.648 eV per atom

a b c (Å): 4.312 4.312 10.875
angles (deg): 90.00 90.00 90.00
Fractional coordinates of all 6 atoms:
Ca (0.894, 0.606, 0.268)
Ca (0.394, 0.106, 0.732)
Sb (0.394, 0.606, 0.500)
Sb (0.894, 0.106, 0.500)
I (0.894, 0.606, 0.853)
I (0.394, 0.106, 0.147)


DFT (PBE) results for a relaxed Ca4Sb2I5 crystal.

Values from the calculation:
VASP energy   -3.457 eV per atom

a b c (Å): 4.321 8.844 12.577
angles (deg): 87.17 99.89 90.00
Fractional coordinates of all 11 atoms:
Ca (0.674, 0.582, 0.347)
Ca (0.022, 0.725, 0.044)
Ca (0.326, 0.418, 0.653)
Ca (0.978, 0.275, 0.956)
Sb (0.554, 0.441, 0.108)
Sb (0.446, 0.559, 0.892)
I (0.143, 0.825, 0.286)
I (0.857, 0.175, 0.714)
I (0.203, 0.334, 0.407)
I (0.500, 0.000, 0.000)
I (0.797, 0.666, 0.593)


DFT (PBE) results for a relaxed CaSbI6 crystal.

Values from the calculation:
VASP energy   -2.560 eV per atom

a b c (Å): 7.613 7.614 8.097
angles (deg): 61.96 61.98 60.03
Fractional coordinates of all 8 atoms:
Ca (0.500, 0.500, 0.500)
Sb (0.000, 0.000, 0.000)
I (0.067, 0.418, 0.751)
I (0.764, 0.067, 0.751)
I (0.582, 0.236, 0.249)
I (0.236, 0.933, 0.249)
I (0.933, 0.582, 0.249)
I (0.418, 0.764, 0.751)


DFT (PBE) results for a relaxed CaSb2I4 crystal.

Values from the calculation:
VASP energy   -2.720 eV per atom

a b c (Å): 6.487 6.487 9.234
angles (deg): 69.44 69.44 90.00
Fractional coordinates of all 7 atoms:
I (0.817, 0.817, 0.367)
I (0.183, 0.183, 0.633)
I (0.000, 0.500, 0.000)
I (0.500, 0.000, 0.000)
Sb (0.584, 0.584, 0.833)
Sb (0.416, 0.416, 0.167)
Ca (0.000, 0.000, 0.000)


DFT (PBE) results for a relaxed CaScSbI2 crystal.

Values from the calculation:
VASP energy   -3.781 eV per atom

a b c (Å): 5.603 5.603 5.840
angles (deg): 90.00 90.00 90.00
Fractional coordinates of all 5 atoms:
I (0.000, 0.500, 0.000)
I (0.500, 0.000, 0.000)
Sb (0.000, 0.000, 0.500)
Ca (0.500, 0.500, 0.500)
Sc (0.000, 0.000, 0.000)


DFT (PBE) results for a relaxed CaSbSeI2 crystal.

Values from the calculation:
VASP energy   -2.623 eV per atom

a b c (Å): 5.770 5.770 5.542
angles (deg): 90.00 90.00 90.00
Fractional coordinates of all 5 atoms:
I (0.000, 0.500, 0.000)
I (0.500, 0.000, 0.000)
Sb (0.000, 0.000, 0.500)
Ca (0.500, 0.500, 0.500)
Se (0.000, 0.000, 0.000)


DFT (PBE) results for a relaxed CaSb2SeI crystal.

Values from the calculation:
VASP energy   -3.013 eV per atom

a b c (Å): 5.441 5.441 5.857
angles (deg): 90.00 90.00 90.00
Fractional coordinates of all 5 atoms:
I (0.000, 0.000, 0.500)
Sb (0.000, 0.500, 0.000)
Sb (0.500, 0.000, 0.000)
Ca (0.500, 0.500, 0.500)
Se (0.000, 0.000, 0.000)


DFT (PBE) results for a relaxed CaSb2SeI crystal.

Values from the calculation:
VASP energy   -2.574 eV per atom

a b c (Å): 5.969 5.969 5.579
angles (deg): 90.00 90.00 90.00
Fractional coordinates of all 5 atoms:
I (0.000, 0.000, 0.500)
Sb (0.000, 0.500, 0.000)
Sb (0.500, 0.000, 0.000)
Ca (0.000, 0.000, 0.000)
Se (0.500, 0.500, 0.500)


DFT (PBE) results for a relaxed CaSbSeI2 crystal.

Values from the calculation:
VASP energy   -2.490 eV per atom

a b c (Å): 5.828 5.828 6.538
angles (deg): 90.00 90.00 90.00
Site moments in Bohr magnetons follow the coordinates.
Fractional coordinates of all 5 atoms:
I (0.000, 0.500, 0.000)  0.00
I (0.500, 0.000, 0.000)  0.00
Sb (0.000, 0.000, 0.500)  -0.40
Ca (0.000, 0.000, 0.000)  0.00
Se (0.500, 0.500, 0.500)  0.89


DFT (PBE) results for a relaxed CaSiSb2I crystal.

Values from the calculation:
VASP energy   -3.405 eV per atom

a b c (Å): 5.258 5.258 5.761
angles (deg): 90.00 90.00 90.00
Fractional coordinates of all 5 atoms:
I (0.000, 0.000, 0.500)
Sb (0.000, 0.500, 0.000)
Sb (0.500, 0.000, 0.000)
Ca (0.500, 0.500, 0.500)
Si (0.000, 0.000, 0.000)


DFT (PBE) results for a relaxed CaSiSb2I crystal.

Values from the calculation:
VASP energy   -2.677 eV per atom

a b c (Å): 5.870 5.870 5.722
angles (deg): 90.00 90.00 90.00
Site moments in Bohr magnetons follow the coordinates.
Fractional coordinates of all 5 atoms:
I (0.000, 0.000, 0.500)  0.02
Sb (0.000, 0.500, 0.000)  -0.04
Sb (0.500, 0.000, 0.000)  -0.04
Ca (0.000, 0.000, 0.000)  0.00
Si (0.500, 0.500, 0.500)  0.13


DFT (PBE) results for a relaxed SrCaSbI crystal.

Values from the calculation:
VASP energy   -3.617 eV per atom

a b c (Å): 5.070 5.070 15.485
angles (deg): 80.58 80.58 60.00
Fractional coordinates of all 8 atoms:
Sr (0.590, 0.590, 0.229)
Sr (0.410, 0.410, 0.771)
Ca (0.808, 0.808, 0.576)
Ca (0.192, 0.192, 0.424)
Sb (0.120, 0.120, 0.641)
Sb (0.880, 0.880, 0.359)
I (0.707, 0.707, 0.878)
I (0.293, 0.293, 0.122)


DFT (PBE) results for a relaxed SrCaSbI2 crystal.

Values from the calculation:
VASP energy   -2.756 eV per atom

a b c (Å): 6.093 6.093 6.506
angles (deg): 90.00 90.00 90.00
Site moments in Bohr magnetons follow the coordinates.
Fractional coordinates of all 5 atoms:
I (0.000, 0.500, 0.000)  0.03
I (0.500, 0.000, 0.000)  0.03
Sb (0.000, 0.000, 0.500)  0.30
Ca (0.500, 0.500, 0.500)  -0.01
Sr (0.000, 0.000, 0.000)  0.02


no.,total moment (μB/cell),formation energy (no corrections) (eV/atom)
1,0.00,-1.6271
2,0.00,-1.1903
3,0.00,-0.5435
4,0.00,0.1784
5,0.00,-0.0299
6,0.00,0.6296
7,0.00,-1.0151
8,4.04,0.0463
9,0.00,-0.3011
10,0.00,-0.7855
11,0.00,-0.3179
12,2.99,-0.1241
13,0.00,-0.5919
14,0.00,-1.0895
15,0.00,-1.2750
16,0.00,-0.6318
17,0.00,-0.3706
18,0.00,-0.6699
19,0.00,-0.0810
20,0.00,0.0429
21,0.00,0.4817
22,0.46,0.0513
23,0.00,0.0390
24,0.25,0.7666
25,0.00,-1.2784
26,0.93,-0.5743